## LiMoOs3 (meta-GGA SCAN)

Data for LiMoOs3 at its PBEsol-relaxed geometry.

Cell and atoms, written as CIF:
```
data_LiMoOs3
_cell_length_a 4.044
_cell_length_b 4.044
_cell_length_c 4.044
_cell_angle_alpha 90.00
_cell_angle_beta 90.00
_cell_angle_gamma 90.00
_space_group_name_H-M_alt 'P m -3 m'
_space_group_IT_number 221
_space_group_name_Hall '-P 4 2 3'
loop_
_atom_site_label
_atom_site_fract_x
_atom_site_fract_y
_atom_site_fract_z
Li1 0.000 0.000 0.000
Mo1 0.500 0.500 0.500
Os1 0.000 0.000 0.500
```

Theoretical density ... 16.915 g/cm³
Energy of formation from the pure elements ... 0.990 eV per atom